[1]
BeCuBi | PBE | relaxed

Values from the calculation:
Symmetry: No. 1
Energy relative to the elements (eV per atom): 0.1105

Unit cell a=3.7599 b=3.7742 c=9.1891 alpha=101.75 beta=90.09 gamma=119.73
Fractional coordinates of all 6 atoms:
Be  0.0000  0.0000  0.0000
Be  0.3331  0.6657  0.9999
Cu  0.6232  0.2471  0.8710
Cu  0.7096  0.4190  0.1298
Bi  0.2287  0.4596  0.6849
Bi  0.4382  0.8760  0.3145

---

[2]
BeCuBi | PBE | relaxed

Values from the calculation:
Symmetry: No. 8
Energy relative to the elements (eV per atom): 0.1165

Unit cell a=3.8453 b=3.8453 c=8.9656 alpha=101.73 beta=101.73 gamma=59.86
Fractional coordinates of all 6 atoms:
Be  0.0000  0.0000  0.0000
Be  0.7103  0.7103  0.1383
Cu  0.3418  0.3418  0.0274
Cu  0.6304  0.6304  0.8865
Bi  0.2379  0.2379  0.6995
Bi  0.4376  0.4376  0.3314

---

[3]
BeCuBi | PBE | relaxed

Values from the calculation:
Symmetry: No. 12
Energy relative to the elements (eV per atom): 0.1279

Unit cell a=3.7491 b=3.7491 c=9.1739 alpha=101.08 beta=101.08 gamma=60.18
Fractional coordinates of all 6 atoms:
Be  0.1663  0.1663  0.4982
Be  0.8337  0.8337  0.5018
Cu  0.4602  0.4602  0.3705
Cu  0.5398  0.5398  0.6295
Bi  0.2649  0.2649  0.8178
Bi  0.7351  0.7351  0.1822